No. 1
LaSc2Pt: optimized geometry, PBE-GGA.

Unit cell a=3.395 b=3.395 c=8.248 alpha=90.00 beta=90.00 gamma=90.00
Space group P4/mmm (No. 123)
One atom of each set of equivalent atoms:
La 0.000 0.000 0.000 [1 per cell]
Sc 0.500 0.500 0.314 [2 per cell]
Pt 0.000 0.000 0.500 [1 per cell]

Properties
Density of states at the Fermi level ... 1.121 states/eV/atom
E_tot ... -6.51 eV per atom
Mass density ... 7.4 Mg/m³
E_form ... -0.61 eV per atom


No. 2
LaSc2Pt: optimized geometry, PBE-GGA.

Unit cell a=4.949 b=4.949 c=3.594 alpha=90.00 beta=90.00 gamma=90.00
Space group P4/mmm (No. 123)
One atom of each set of equivalent atoms:
La 0.000 0.000 0.000 [1 per cell]
Sc 0.000 0.500 0.500 [2 per cell]
Pt 0.500 0.500 0.000 [1 per cell]

Properties
Density of states at the Fermi level ... 1.353 states/eV/atom
E_tot ... -6.23 eV per atom
Mass density ... 8.0 Mg/m³
E_form ... -0.32 eV per atom


No. 3
La5Sc4Pt4: optimized geometry, PBE-GGA.

Unit cell a=12.989 b=12.989 c=3.988 alpha=90.00 beta=90.00 gamma=90.00
Space group I4/m (No. 87)
One atom of each set of equivalent atoms:
La 0.000 0.000 0.000 [2 per cell]
La 0.135 0.189 0.500 [8 per cell]
Sc 0.086 0.609 0.500 [8 per cell]
Pt 0.046 0.743 0.000 [8 per cell]

Properties
Density of states at the Fermi level ... 1.430 states/eV/atom
E_tot ... -6.47 eV per atom
Mass density ... 8.2 Mg/m³
E_form ... -0.76 eV per atom


No. 4
LaSc2Pt: optimized geometry, PBE-GGA.

Unit cell a=3.656 b=5.058 c=10.350 alpha=90.00 beta=90.00 gamma=90.00
Space group Imm2 (No. 44)
One atom of each set of equivalent atoms:
La 0.000 0.000 0.000 [2 per cell]
Sc 0.000 0.000 0.415 [2 per cell]
Sc 0.000 0.500 0.213 [2 per cell]
Pt 0.000 0.500 0.728 [2 per cell]

Properties
Density of states at the Fermi level ... 0.946 states/eV/atom
E_tot ... -6.45 eV per atom
Mass density ... 7.4 Mg/m³
E_form ... -0.54 eV per atom